Entry 1:
Here is a geometry-optimized Li3V3O5F3 structure from Alexandria. Energies are from PBEsol.

Geometry as extended XYZ:
```
14
Lattice="5.060 -2.889 0.000 5.060 2.889 0.000 -3.347 0.000 4.765" Properties=species:S:1:pos:R:3 pbc="T T T"
Li 0.000 0.000 0.000
Li -1.697 0.000 2.436
Li 3.460 0.000 4.122
V 0.763 1.398 2.449
V 3.422 0.000 0.708
V 0.763 -1.398 2.449
O 0.061 0.000 3.615
O 1.705 0.000 1.356
O 4.316 1.418 1.294
O 5.280 0.000 3.452
O 4.316 -1.418 1.294
F 2.484 1.500 3.536
F 2.484 -1.500 3.536
F 6.749 0.000 1.302
```

## Properties
For the final energy, the calculation gives -102.09 eV per cell. The value obtained for the uncorrected formation energy is -2.518 eV per atom. For the energy above the most stable polymorph in this dataset, the calculation gives 0.0 meV/atom. As for the density of states at the Fermi level: 0.319 states/eV per atom.

***

Entry 2:
Here is a geometry-optimized ZnIn3W structure from Alexandria. Energies are from PBEsol.

Geometry as extended XYZ:
```
5
Lattice="5.249 0.000 0.000 0.000 5.249 0.000 0.000 0.000 5.249" Properties=species:S:1:pos:R:3 pbc="T T T"
Zn 0.000 0.000 0.000
In 0.000 2.625 2.625
In 2.625 0.000 2.625
In 2.625 2.625 0.000
W 2.625 2.625 2.625
```

## Properties
For the final energy, the calculation gives -19.67 eV per cell. The formation energy comes out at 0.9331 eV/atom. As for the density of states at the Fermi level: 1.371 states/eV per atom.

***

Entry 3:
Here is a geometry-optimized KBe3Pd structure from Alexandria. Energies are from PBEsol.

Geometry as extended XYZ:
```
5
Lattice="4.480 0.000 0.000 0.000 4.480 0.000 0.000 0.000 4.480" Properties=species:S:1:pos:R:3 pbc="T T T"
K 0.000 0.000 0.000
Be 0.000 0.000 2.240
Be 0.000 2.240 0.000
Be 2.240 0.000 0.000
Pd 2.240 2.240 2.240
```

## Properties
For the final energy, the calculation gives -6.52 eV per cell. The formation energy comes out at 2.5153 eV/atom. As for the density of states at the Fermi level: 0.958 states/eV per atom.

***

Entry 4:
Here is a geometry-optimized Li3Ag structure from Alexandria. Energies are from PBEsol.

Geometry as extended XYZ:
```
16
Lattice="5.701 0.000 0.000 -2.851 4.938 0.000 0.000 0.000 9.231" Properties=species:S:1:pos:R:3 pbc="T T T"
Li -1.425 2.469 0.000
Li -1.425 2.469 4.615
Li 0.000 1.585 2.308
Li -1.478 4.145 2.308
Li 1.373 0.793 6.923
Li 2.851 0.000 0.000
Li 2.851 0.000 4.615
Li 1.425 2.469 0.000
Li 1.425 2.469 4.615
Li 1.478 4.145 2.308
Li 4.329 0.793 6.923
Li 2.851 3.353 6.923
Ag 0.000 0.000 0.000
Ag 0.000 0.000 4.615
Ag 0.000 3.292 6.923
Ag 2.851 1.646 2.308
```

## Properties
For the final energy, the calculation gives -38.71 eV per cell. For the energy above the most stable polymorph in this dataset, the calculation gives 10.2 meV/atom. The formation energy comes out at -0.1165 eV/atom. As for the density of states at the Fermi level: 0.384 states/eV per atom.

***

Entry 5:
Here is a geometry-optimized MgIr2Au structure from Alexandria. Energies are from PBEsol.

Geometry as extended XYZ:
```
4
Lattice="2.774 0.000 0.000 0.000 2.774 0.000 0.000 0.000 7.981" Properties=species:S:1:pos:R:3 pbc="T T T"
Mg 0.000 0.000 0.000
Ir 0.000 0.000 4.220
Ir 1.387 1.387 5.972
Au 1.387 1.387 2.089
```

## Properties
For the final energy, the calculation gives -25.72 eV per cell. The formation energy comes out at -0.1089 eV/atom. As for the density of states at the Fermi level: 0.554 states/eV per atom.

***

Entry 6:
Here is a geometry-optimized MnFeRe3 structure from Alexandria. Energies are from PBEsol.

Geometry as extended XYZ:
```
5
Lattice="4.345 0.000 0.000 0.000 4.345 0.000 0.000 0.000 4.345" Properties=species:S:1:pos:R:3 pbc="T T T"
Mn 0.000 0.000 0.000
Fe 2.172 2.172 2.172
Re 0.000 2.172 2.172
Re 2.172 0.000 2.172
Re 2.172 2.172 0.000
```

## Properties
For the final energy, the calculation gives -50.56 eV per cell. The formation energy comes out at 1.6329 eV/atom. As for the density of states at the Fermi level: 0.919 states/eV per atom.

***

Entry 7:
Here is a geometry-optimized Li2AlHg structure from Alexandria. Energies are from PBEsol.

Geometry as extended XYZ:
```
4
Lattice="4.320 0.000 0.000 0.000 4.320 0.000 0.000 0.000 3.422" Properties=species:S:1:pos:R:3 pbc="T T T"
Li 0.000 2.160 0.000
Li 2.160 0.000 0.000
Al 0.000 0.000 1.711
Hg 2.160 2.160 1.711
```

## Properties
For the final energy, the calculation gives -9.60 eV per cell. The formation energy comes out at -0.2530 eV/atom. As for the density of states at the Fermi level: 0.261 states/eV per atom.

***

Entry 8:
Here is a geometry-optimized Rb2YTiTl structure from Alexandria. Energies are from PBEsol.

Geometry as extended XYZ:
```
5
Lattice="6.424 0.000 0.000 0.000 6.424 0.000 0.000 0.000 5.952" Properties=species:S:1:pos:R:3 pbc="T T T"
Rb 0.000 3.212 0.000
Rb 3.212 0.000 0.000
Y 0.000 0.000 2.976
Ti 3.212 3.212 2.976
Tl 0.000 0.000 0.000
```

## Properties
For the final energy, the calculation gives -14.09 eV per cell. The formation energy comes out at 1.1466 eV/atom. As for the density of states at the Fermi level: 1.959 states/eV per atom.

***

Entry 9:
Here is a geometry-optimized ScAg5 structure from Alexandria. Energies are from PBEsol.

Geometry as extended XYZ:
```
6
Lattice="4.748 0.000 0.000 0.000 1.465 7.450 0.000 -1.465 7.450" Properties=species:S:1:pos:R:3 pbc="T T T"
Sc 0.000 0.000 0.000
Ag 0.000 0.000 4.928
Ag 0.000 0.000 9.949
Ag 2.374 0.000 1.636
Ag 2.374 0.000 6.537
Ag 2.374 0.000 11.563
```

## Properties
For the final energy, the calculation gives -23.61 eV per cell. The formation energy comes out at -0.0749 eV/atom. As for the density of states at the Fermi level: 0.440 states/eV per atom.

***

Entry 10:
Here is a geometry-optimized Zn3CuS structure from Alexandria. Energies are from PBEsol.

Geometry as extended XYZ:
```
5
Lattice="4.592 0.000 0.000 0.000 4.592 0.000 0.000 0.000 4.592" Properties=species:S:1:pos:R:3 pbc="T T T"
Zn 0.000 0.000 2.296
Zn 0.000 2.296 0.000
Zn 2.296 0.000 0.000
Cu 2.296 2.296 2.296
S 0.000 0.000 0.000
```

## Properties
For the final energy, the calculation gives -10.09 eV per cell. The value obtained for the uncorrected formation energy is 0.675 eV per atom. As for the density of states at the Fermi level: 0.401 states/eV per atom.

***

Entry 11:
Here is a geometry-optimized KCaOs2 structure from Alexandria. Energies are from PBEsol.

Geometry as extended XYZ:
```
4
Lattice="3.816 0.000 0.000 0.000 3.816 0.000 0.000 0.000 7.068" Properties=species:S:1:pos:R:3 pbc="T T T"
K 0.000 0.000 0.000
Ca 0.000 0.000 3.534
Os 1.908 1.908 2.418
Os 1.908 1.908 4.650
```

## Properties
For the final energy, the calculation gives -22.17 eV per cell. For the energy above the most stable polymorph in this dataset, the calculation gives 897.4 meV/atom. The formation energy comes out at 1.3832 eV/atom. As for the density of states at the Fermi level: 0.622 states/eV per atom.

***

Entry 12:
Here is a geometry-optimized Sc3TaBr structure from Alexandria. Energies are from PBEsol.

Geometry as extended XYZ:
```
5
Lattice="5.165 0.000 0.000 0.000 5.165 0.000 0.000 0.000 5.165" Properties=species:S:1:pos:R:3 pbc="T T T"
Sc 0.000 0.000 2.583
Sc 0.000 2.583 0.000
Sc 2.583 0.000 0.000
Ta 0.000 0.000 0.000
Br 2.583 2.583 2.583
```

## Properties
For the final energy, the calculation gives -31.10 eV per cell. The value obtained for the uncorrected formation energy is 0.627 eV per atom. As for the density of states at the Fermi level: 1.243 states/eV per atom.

***

Entry 13:
Here is a geometry-optimized BeTc3P structure from Alexandria. Energies are from PBEsol.

Geometry as extended XYZ:
```
5
Lattice="4.274 0.000 0.000 0.000 4.274 0.000 0.000 0.000 4.274" Properties=species:S:1:pos:R:3 pbc="T T T"
Be 0.000 0.000 0.000
Tc 0.000 2.137 2.137
Tc 2.137 0.000 2.137
Tc 2.137 2.137 0.000
P 2.137 2.137 2.137
```

## Properties
For the final energy, the calculation gives -39.82 eV per cell. The formation energy comes out at 0.7542 eV/atom. As for the density of states at the Fermi level: 1.030 states/eV per atom.